Density functional theory data (PBE) for a geometry-optimized Li7TlIn2 structure.

Computed properties:
- Energy relative to the elements: -0.155 eV per atom
- Space group: No. 156

Cell: 4.7244 4.7244 10.1768 Å, 90.00 90.00 120.00°
Element x y z (fractional)
Li 0.0000 0.0000 0.0000
Li 0.0000 0.0000 0.2397
Li 0.0000 0.0000 0.7593
Li 0.3333 0.6667 0.3843
Li 0.3333 0.6667 0.6917
Li 0.6667 0.3333 0.2007
Li 0.6667 0.3333 0.5670
Tl 0.6667 0.3333 0.8818
In 0.0000 0.0000 0.4994
In 0.3333 0.6667 0.0803

=====

Density functional theory data (PBE) for a geometry-optimized Li6Tl2In structure.

Computed properties:
- Energy relative to the elements: -0.190 eV per atom
- ΔE to the lowest computed polymorph: 15 meV/atom
- Space group: No. 189

Cell: 8.2676 8.2676 3.0738 Å, 90.00 90.00 120.00°
Element x y z (fractional)
Li 0.0000 0.3067 0.0000
Li 0.0000 0.6430 0.5000
Li 0.3067 0.0000 0.0000
Li 0.3570 0.3570 0.5000
Li 0.6430 0.0000 0.5000
Li 0.6933 0.6933 0.0000
Tl 0.3333 0.6667 0.0000
Tl 0.6667 0.3333 0.0000
In 0.0000 0.0000 0.5000

=====

Density functional theory data (PBE) for a geometry-optimized Li5Tl2In4 structure.

Computed properties:
- Energy relative to the elements: -0.216 eV per atom
- Space group: No. 55

Cell: 7.7865 18.3325 3.2700 Å, 90.00 90.00 90.00°
Element x y z (fractional)
Li 0.0000 0.0000 0.0000
Li 0.1228 0.4285 0.0000
Li 0.2175 0.1910 0.0000
Li 0.2825 0.6910 0.0000
Li 0.3772 0.9285 0.0000
Li 0.5000 0.5000 0.0000
Li 0.6228 0.0715 0.0000
Li 0.7175 0.3090 0.0000
Li 0.7825 0.8090 0.0000
Li 0.8772 0.5715 0.0000
Tl 0.0358 0.2993 0.5000
Tl 0.4642 0.7993 0.5000
Tl 0.5358 0.2007 0.5000
Tl 0.9642 0.7007 0.5000
In 0.0858 0.8654 0.5000
In 0.2033 0.5562 0.5000
In 0.2967 0.0562 0.5000
In 0.4142 0.3654 0.5000
In 0.5858 0.6346 0.5000
In 0.7033 0.9438 0.5000
In 0.7967 0.4438 0.5000
In 0.9142 0.1346 0.5000

=====

Density functional theory data (PBE) for a geometry-optimized Li2TlIn3 structure.

Computed properties:
- Energy relative to the elements: -0.122 eV per atom
- Space group: No. 63

Cell: 6.8669 6.8669 5.8459 Å, 90.00 90.00 90.62°
Element x y z (fractional)
Li 0.2426 0.2426 0.0000
Li 0.2426 0.2426 0.5000
Li 0.7574 0.7574 0.0000
Li 0.7574 0.7574 0.5000
Tl 0.1093 0.8907 0.7500
Tl 0.8907 0.1093 0.2500
In 0.0842 0.5804 0.2500
In 0.4196 0.9158 0.2500
In 0.4442 0.5558 0.7500
In 0.5558 0.4442 0.2500
In 0.5804 0.0842 0.7500
In 0.9158 0.4196 0.7500

=====

Density functional theory data (PBE) for a geometry-optimized Li5TlIn structure.

Computed properties:
- Energy relative to the elements: -0.250 eV per atom
- ΔE to the lowest computed polymorph: 0 meV/atom
- Space group: No. 160

Cell: 7.3258 7.3258 7.3258 Å, 37.42 37.42 37.42°
Element x y z (fractional)
Li 0.0000 0.0000 0.0000
Li 0.1398 0.1398 0.1398
Li 0.2899 0.2899 0.2899
Li 0.4347 0.4347 0.4347
Li 0.5761 0.5761 0.5761
Tl 0.8616 0.8616 0.8616
In 0.7155 0.7155 0.7155

=====

Density functional theory data (PBE) for a geometry-optimized Li6TlIn2 structure.

Computed properties:
- Energy relative to the elements: -0.243 eV per atom
- ΔE to the lowest computed polymorph: 2 meV/atom
- Space group: No. 166

Cell: 5.5510 5.5510 5.5510 Å, 94.54 94.54 94.54°
Element x y z (fractional)
Li 0.0000 0.3329 0.6671
Li 0.0000 0.6671 0.3329
Li 0.3329 0.0000 0.6671
Li 0.3329 0.6671 0.0000
Li 0.6671 0.0000 0.3329
Li 0.6671 0.3329 0.0000
Tl 0.5000 0.5000 0.5000
In 0.1648 0.1648 0.1648
In 0.8352 0.8352 0.8352

=====

Density functional theory data (PBE) for a geometry-optimized LiTlIn2 structure.

Computed properties:
- Energy relative to the elements: -0.061 eV per atom
- Space group: No. 12

Cell: 6.1136 6.1136 3.3318 Å, 100.08 100.08 118.62°
Element x y z (fractional)
Li 0.0000 0.0000 0.0000
Tl 0.5000 0.5000 0.0000
In 0.0000 0.5000 0.5000
In 0.5000 0.0000 0.5000

=====

Density functional theory data (PBE) for a geometry-optimized Li8TlIn3 structure.

Computed properties:
- Energy relative to the elements: -0.273 eV per atom
- Space group: No. 8

Cell: 6.6699 6.6699 5.5888 Å, 107.32 107.32 90.31°
Element x y z (fractional)
Li 0.0000 0.0000 0.0000
Li 0.1624 0.6638 0.6471
Li 0.3273 0.3273 0.3108
Li 0.3345 0.8370 0.3373
Li 0.5024 0.5024 0.9973
Li 0.6638 0.1624 0.6471
Li 0.8304 0.8304 0.3101
Li 0.8370 0.3345 0.3373
Tl 0.6602 0.6602 0.6322
In 0.0029 0.5019 0.0050
In 0.1631 0.1631 0.6472
In 0.5019 0.0029 0.0050